A geometry-optimized CoTcO3 structure, computed with GGA+U.

Electronic total energy, eV/atom: -6.72
Space group: Pm-3m (221)
Mass density, g/cm3: 5.97
Crystal system: cubic

Cell: 3.849 3.849 3.849 Å, 90.00 90.00 90.00°
Fractional positions:
Co  0.500  0.500  0.500
O  0.000  0.000  0.500
O  0.500  0.000  0.000
O  0.000  0.500  0.000
Tc  0.000  0.000  0.000